1.
RbLiCoCl6 (PBE, relaxed); E_form (uncorrected) = -1.049 eV/atom; calculated total energy = -30.51 eV per cell; crystal system = trigonal; total moment = 1.04 μB/f.u.; SG = P312 (149)
1.0
6.3308 0.0004 0.0001
3.1658 5.4822 0.0000
0.0003 -0.0004 7.3043
Rb Li Co Cl
1 1 1 6
Cartesian
6.3310 0.0001 7.3044 Rb
6.3308 3.6547 3.6522 Li
3.1655 1.8274 3.6521 Co
1.3368 1.9443 2.3446 Cl
2.3523 0.1852 4.9595 Cl
4.9942 1.9444 4.9596 Cl
2.1498 3.3527 4.9594 Cl
4.1813 3.3527 2.3447 Cl
3.9787 0.1852 2.3449 Cl

2.
Rb2LiCoCl6 (PBE, relaxed); E_form (uncorrected) = -1.336 eV/atom; calculated total energy = -35.39 eV per cell; crystal system = tetragonal; total moment = 0.00 μB/f.u.; SG = I4/mmm (139)
1.0
-1.0772 6.3120 3.4391
-1.6825 -3.6023 6.0845
2.9919 1.4209 6.0098
Li Co Rb Cl
1 1 2 6
Cartesian
-1.3798 1.3548 4.7618 Li
0.0000 0.0000 0.0000 Co
0.2675 4.5438 7.1054 Rb
-0.0352 -0.4133 8.4281 Rb
0.8298 1.3882 5.3926 Cl
-0.5975 2.7423 10.1408 Cl
-0.6152 0.6040 2.1229 Cl
-2.1445 2.1056 7.4007 Cl
-1.2121 4.1020 4.0288 Cl
-1.5476 -1.3923 5.4948 Cl

3.
LiCo2RhCl (PBE, relaxed); E_form (uncorrected) = 0.777 eV/atom; calculated total energy = -21.44 eV per cell; crystal system = tetragonal; total moment = 5.24 μB/f.u.; SG = P4/mmm (123)
1.0
-2.5893 -1.7718 -3.3506
2.2700 -4.3769 0.5604
-3.1555 -1.2403 3.0944
Co Li Rh Cl
2 1 1 1
Cartesian
-1.5777 -0.6202 1.5472 Co
-1.2947 -0.8859 -1.6753 Co
1.1350 -2.1885 0.2802 Li
0.0000 0.0000 0.0000 Rh
-1.7374 -3.6946 0.1521 Cl

4.
LiCo2RuCl (PBE, relaxed); E_form (uncorrected) = 0.756 eV/atom; calculated total energy = -23.47 eV per cell; crystal system = tetragonal; total moment = 4.13 μB/f.u.; SG = P4/mmm (123)
1.0
4.1534 0.0000 0.0000
0.0000 4.0772 0.0000
0.0000 0.0000 4.1534
Ru Li Co Cl
1 1 2 1
Cartesian
2.0767 2.0386 2.0767 Ru
0.0000 2.0386 0.0000 Li
0.0000 0.0000 2.0767 Co
2.0767 0.0000 0.0000 Co
0.0000 0.0000 0.0000 Cl

5.
LiCo2SiCl (PBE, relaxed); E_form (uncorrected) = 0.987 eV/atom; calculated total energy = -18.46 eV per cell; crystal system = tetragonal; total moment = 2.47 μB/f.u.; SG = P4/mmm (123)
1.0
4.3398 0.0000 0.0000
0.0000 3.8878 0.0000
0.0000 0.0000 4.3398
Si Li Co Cl
1 1 2 1
Cartesian
2.1699 1.9439 2.1699 Si
0.0000 0.0000 0.0000 Li
0.0000 0.0000 2.1699 Co
2.1699 0.0000 0.0000 Co
0.0000 1.9439 0.0000 Cl

6.
SrLiCoCl6 (PBE, relaxed); E_form (uncorrected) = -1.417 eV/atom; calculated total energy = -34.54 eV per cell; crystal system = trigonal; total moment = 0.11 μB/f.u.; SG = P312 (149)
1.0
-3.0880 -5.2275 1.7975
1.2154 -5.5293 -2.8361
4.4132 -1.1715 4.1764
Sr Li Co Cl
1 1 1 6
Cartesian
1.3252 -6.3990 5.9738 Sr
0.9583 -7.7563 1.3958 Li
1.5824 -4.1713 1.7419 Co
1.6041 -2.4503 0.2523 Cl
2.0903 -2.8509 3.5251 Cl
1.6723 -6.0101 3.0807 Cl
3.8001 -4.4002 1.2827 Cl
0.9253 -5.5911 0.0885 Cl
-0.5975 -3.7253 2.2221 Cl

7.
LiTlCoCl4 (PBE, relaxed); E_form (uncorrected) = -1.025 eV/atom; calculated total energy = -51.90 eV per cell; crystal system = monoclinic; total moment = 3.00 μB/f.u.; SG = P2_1/m (11)
1.0
6.0750 0.0000 -0.5958
0.0000 7.0216 0.0000
-3.4619 0.0000 8.8437
Li Tl Co Cl
2 2 2 8
Cartesian
3.5098 5.2662 3.9354 Li
-0.8967 1.7554 4.3125 Li
0.6833 5.2662 7.5715 Tl
1.9299 1.7554 0.6764 Tl
-0.1186 5.2662 2.6149 Co
2.7318 1.7554 5.6331 Co
-1.8203 3.4492 6.1444 Cl
4.4334 6.9600 2.1035 Cl
4.4334 3.5724 2.1035 Cl
-1.8203 0.0616 6.1444 Cl
1.0504 5.2662 0.7142 Cl
1.5628 1.7554 7.5337 Cl
1.1768 5.2662 4.4501 Cl
1.4364 1.7554 3.7979 Cl

8.
LiTl3Co2Cl8 (PBE, relaxed); E_form (uncorrected) = -0.921 eV/atom; calculated total energy = -50.89 eV per cell; crystal system = trigonal; total moment = 6.00 μB/f.u.; SG = P-3m1 (164)
1.0
-3.3464 -5.4466 -3.1369
6.7452 1.5005 -1.7191
2.8591 -5.4684 6.4449
Li Tl Co Cl
1 3 2 8
Cartesian
1.4296 -2.7342 3.2224 Li
5.1982 -4.2902 1.9039 Tl
1.0597 -5.1243 -0.3150 Tl
0.0000 0.0000 0.0000 Tl
4.0130 -2.0234 -0.7678 Co
2.2449 -7.3912 2.3567 Co
6.1633 -6.1361 4.0793 Cl
0.0946 -3.2785 -2.4904 Cl
6.0000 -1.3690 0.0911 Cl
0.2579 -8.0455 1.4977 Cl
2.5658 -2.1330 0.9664 Cl
3.6921 -7.2816 0.6225 Cl
4.2962 -4.1421 -1.5059 Cl
1.9617 -5.2725 3.0948 Cl

9.
LiTl2CoCl5 (PBE, relaxed); E_form (uncorrected) = -1.011 eV/atom; calculated total energy = -64.17 eV per cell; crystal system = orthorhombic; total moment = 3.00 μB/f.u.; SG = Cmc2_1 (36)
1.0
3.9217 0.0000 0.0000
-1.9608 9.2628 0.0000
0.0000 0.0000 13.1134
Li Tl Co Cl
2 4 2 10
Cartesian
1.9608 1.3350 12.3867 Li
0.0000 7.9278 5.8300 Li
1.9608 6.9037 10.5524 Tl
0.0000 2.1348 8.9849 Tl
0.0000 2.3591 3.9957 Tl
1.9608 7.1280 2.4283 Tl
1.9608 5.3805 6.8191 Co
0.0000 3.8823 0.2624 Co
0.0000 6.2322 0.0047 Cl
1.9608 3.6397 11.6995 Cl
1.9608 0.0771 10.4388 Cl
0.0000 5.2592 8.3798 Cl
1.9608 7.8024 7.1059 Cl
1.9608 3.0306 6.5614 Cl
0.0000 5.6231 5.1428 Cl
0.0000 9.1857 3.8821 Cl
1.9608 4.0036 1.8231 Cl
0.0000 1.4604 0.5492 Cl

10.
LiTl2CoCl6 (PBE, relaxed); E_form (uncorrected) = -0.952 eV/atom; calculated total energy = -34.35 eV per cell; crystal system = tetragonal; total moment = 0.07 μB/f.u.; SG = I4 (79)
1.0
6.9155 0.0001 0.0004
0.0001 6.9155 0.0001
-3.4580 -3.4579 4.8976
Li Tl Co Cl
1 2 1 6
Cartesian
3.4567 3.4593 0.0014 Li
3.4576 0.0033 2.4455 Tl
-0.0001 3.4612 2.4453 Tl
3.4575 -3.4542 4.8976 Co
1.8454 1.8528 4.8970 Cl
3.4583 3.4616 2.6203 Cl
-1.8455 -1.8455 4.8975 Cl
1.8490 -1.8417 4.8970 Cl
-0.0004 0.0037 2.2768 Cl
-1.8491 1.8491 4.8975 Cl

11.
LiTlCo2Cl (PBE, relaxed); E_form (uncorrected) = 0.939 eV/atom; calculated total energy = -15.65 eV per cell; crystal system = tetragonal; total moment = 3.80 μB/f.u.; SG = P4/mmm (123)
1.0
4.9379 0.0000 0.0000
0.0000 5.4543 0.0000
0.0000 0.0000 4.9379
Tl Li Co Cl
1 1 2 1
Cartesian
0.0000 0.0000 0.0000 Tl
0.0000 2.7272 0.0000 Li
0.0000 0.0000 2.4689 Co
2.4689 0.0000 0.0000 Co
2.4689 2.7272 2.4689 Cl

12.
LiTlCo2Cl6 (PBE, relaxed); E_form (uncorrected) = -0.886 eV/atom; calculated total energy = -76.86 eV per cell; crystal system = monoclinic; total moment = 6.00 μB/f.u.; SG = C2/c (15)
1.0
7.0920 0.3475 0.3606
2.6809 9.2876 -0.0681
2.6809 -0.4122 9.2787
Li Tl Co Cl
2 2 4 12
Cartesian
4.4539 1.7726 7.3473 Li
8.0000 7.4503 2.2240 Li
4.4539 8.2097 1.1445 Tl
8.0000 1.0132 8.4268 Tl
6.6825 6.9999 5.8459 Co
2.2254 3.4667 2.1792 Co
5.7714 2.2230 3.7254 Co
10.2285 5.7562 7.3921 Co
6.3917 8.6725 7.3400 Cl
2.5162 2.0356 0.4524 Cl
6.0622 0.5504 2.2313 Cl
9.9377 7.1873 9.1189 Cl
6.1916 7.6445 3.7427 Cl
2.7163 5.5924 1.6130 Cl
6.2623 1.5784 5.8286 Cl
9.7376 3.6305 7.9583 Cl
5.3537 5.2818 6.4791 Cl
3.5542 2.7702 3.8727 Cl
7.1002 3.9411 3.0922 Cl
8.8997 6.4527 5.6986 Cl

13.
LiZr2CoCl (PBE, relaxed); E_form (uncorrected) = 0.673 eV/atom; calculated total energy = -24.60 eV per cell; crystal system = tetragonal; total moment = 0.00 μB/f.u.; SG = P4/mmm (123)
1.0
-1.3445 2.7607 3.8429
-3.3923 -1.5228 -0.0928
1.5044 -3.5383 3.0683
Li Co Zr Cl
1 1 2 1
Cartesian
0.0000 0.0000 0.0000 Li
-1.6962 -0.7614 -0.0464 Co
0.7522 -1.7692 1.5341 Zr
-0.6722 1.3804 1.9215 Zr
-1.6162 -1.1502 3.4092 Cl

14.
LiZrCoCl2 (PBE, relaxed); E_form (uncorrected) = 0.108 eV/atom; calculated total energy = -20.72 eV per cell; crystal system = tetragonal; total moment = 1.04 μB/f.u.; SG = P4/mmm (123)
1.0
-0.8421 1.5655 4.2808
-2.8657 -3.7830 0.8198
3.6290 -2.4038 1.5929
Li Co Zr Cl
1 1 1 2
Cartesian
-0.0394 -2.3107 3.3468 Li
0.0000 0.0000 0.0000 Co
-1.4328 -1.8915 0.4099 Zr
1.8145 -1.2019 0.7965 Cl
-0.4210 0.7828 2.1404 Cl

15.
MgCo3Cl (PBE, relaxed); E_form (uncorrected) = 1.555 eV/atom; calculated total energy = -16.98 eV per cell; ΔE to the lowest computed polymorph = 991.4 meV per atom; crystal system = cubic; total moment = 4.92 μB/f.u.; SG = Pm-3m (221)
1.0
-3.9463 1.0078 2.1004
0.8120 -3.2774 3.0983
2.1836 3.0403 2.6437
Mg Co Cl
1 3 1
Cartesian
0.0000 0.0000 0.0000 Mg
0.4060 -1.6387 1.5492 Co
1.0918 1.5201 1.3219 Co
-1.9731 0.5039 1.0502 Co
-0.4754 0.3853 3.9212 Cl

16.
MgCoCl (PBE, relaxed); E_form (uncorrected) = 0.010 eV/atom; calculated total energy = -10.52 eV per cell; ΔE to the lowest computed polymorph = 663.9 meV per atom; crystal system = orthorhombic; total moment = 1.51 μB/f.u.; SG = Fmm2 (42)
1.0
-0.4402 4.2504 -4.8851
0.5414 1.4191 -5.9090
-3.0035 0.8704 -0.5000
Cl Co Mg
1 1 1
Cartesian
0.0927 5.6566 -10.7663 Cl
-1.9597 2.4839 -3.9610 Co
-0.9342 4.0690 -7.3610 Mg

17.
MgCoCl2 (PBE, relaxed); E_form (uncorrected) = -0.457 eV/atom; calculated total energy = -14.22 eV per cell; ΔE to the lowest computed polymorph = 163.7 meV per atom; crystal system = tetragonal; total moment = 1.91 μB/f.u.; SG = P4mm (99)
1.0
-0.6933 -0.1147 3.0441
-2.9483 -0.7599 -0.7001
2.0628 -8.1526 0.1625
Cl Co Mg
2 1 1
Cartesian
1.8717 -7.3973 0.1475 Cl
-1.0772 -3.3762 1.2306 Cl
1.0196 -4.0297 0.0803 Co
-0.2987 -6.4530 1.2919 Mg

18.
MgCoCl2 (PBE, relaxed); E_form (uncorrected) = -0.398 eV/atom; calculated total energy = -13.99 eV per cell; ΔE to the lowest computed polymorph = 222.6 meV per atom; crystal system = trigonal; total moment = 2.37 μB/f.u.; SG = R-3m (166)
1.0
-6.7841 2.5600 4.2740
-5.4594 0.1606 6.4042
-4.2104 3.3991 6.4469
Mg Co Cl
1 1 2
Cartesian
0.0000 0.0000 0.0000 Mg
-8.2269 3.0598 8.5626 Co
-14.6441 5.4466 15.2416 Cl
-1.8097 0.6731 1.8836 Cl

19.
MgCoCl2 (PBE, relaxed); E_form (uncorrected) = -0.290 eV/atom; calculated total energy = -13.55 eV per cell; ΔE to the lowest computed polymorph = 331.1 meV per atom; crystal system = monoclinic; total moment = 1.19 μB/f.u.; SG = P2/m (10)
1.0
3.7542 0.0000 0.0000
0.0000 3.8292 0.0065
0.0000 -0.0266 5.2335
Cl Co Mg
2 1 1
Cartesian
0.0000 0.1343 0.0675 Cl
0.0000 1.7670 2.5525 Cl
1.8771 0.9506 1.3100 Co
1.8771 2.8519 3.9300 Mg

20.
MgCoCl2 (PBE, relaxed); E_form (uncorrected) = -0.332 eV/atom; calculated total energy = -27.44 eV per cell; ΔE to the lowest computed polymorph = 288.8 meV per atom; crystal system = tetragonal; total moment = 1.18 μB/f.u.; SG = I-42d (122)
1.0
-3.1892 -2.9441 3.1106
3.3680 -4.1198 -0.4461
2.9154 -1.7209 5.9438
Mg Co Cl
2 2 4
Cartesian
0.0894 -3.5319 1.3323 Mg
3.1864 -4.6863 3.4150 Mg
0.0000 0.0000 0.0000 Co
-0.0922 -4.0984 5.1934 Co
-0.9163 -2.8526 3.4455 Cl
2.5081 -3.3057 1.5249 Cl
2.1766 -3.8454 5.4672 Cl
2.4200 -7.5657 6.7791 Cl